14
Lattice="6.7402 0.0000 0.0000 3.3701 5.8372 0.0000 3.3701 1.9457 5.6343" Properties=species:S:1:pos:R:3 comment="KPmIn4O8, relaxed, DFT GGA-PBE" magnetic_moment_mub_per_cell=0.12 crystal_system=trigonal e_form_raw_ev_per_atom=-1.74 dos_at_fermi_per_ev_cell=8.154 pbc="T T T"
O 6.7402 1.8631 1.5162
O 3.3701 1.9457 1.7363
O 6.7402 6.1049 4.0257
O 8.6571 2.7848 4.0257
O 10.1104 5.8372 4.0786
O 4.9836 4.9057 1.5162
O 4.8234 2.7848 4.0257
O 8.4969 4.9057 1.5162
In 1.7335 1.0008 2.8316
In 3.3701 3.8356 2.8316
In 5.0068 1.0008 2.8316
In 6.7402 3.8915 0.8089
Pm 3.3701 1.9457 5.5658
K 6.7402 3.8915 4.9473